(1)
This record from OQMD describes a geometry-optimized NdZn2Cu2Ni structure. The functional is PBE.

Values from the calculation:
* ΔE_f: -0.279 eV/atom
* space-group type: Cmmm (65)

abc: 5.1346 5.1346 4.1251
angles: 90.00 90.00 118.42
Closest atoms and distances in Å follow each position.
Positions (direct):
Cu (0.6590, 0.3410, 0.0000)  2 Ni 2.49, 4 Zn 2.57
Cu (0.3410, 0.6590, 0.0000)  2 Ni 2.49, 4 Zn 2.57
Nd (0.0000, 0.0000, 0.0000)  6 Cu 2.98-3.01, 8 Zn 3.29
Ni (0.5000, 0.5000, 0.5000)  4 Cu 2.49, 4 Zn 2.57
Zn (0.5000, 0.0000, 0.5000)  2 Ni 2.57, 4 Cu 2.57, 2 Zn 2.63
Zn (0.0000, 0.5000, 0.5000)  2 Ni 2.57, 4 Cu 2.57, 2 Zn 2.63


(2)
This record from OQMD describes a geometry-optimized Gd3Mg3Tl2Zn structure. The functional is PBE.

Values from the calculation:
* energy: -27.60 eV/f.u.
* space-group type: P-62m (189)

abc: 7.5362 7.5362 4.5955
angles: 90.00 90.00 120.00
Closest atoms and distances in Å follow each position.
Positions (direct):
Gd (0.4125, 0.0000, 0.0000)  1 Zn 3.11, 4 Tl 3.23
Gd (0.0000, 0.4125, 0.0000)  1 Zn 3.11, 4 Tl 3.23
Gd (0.5875, 0.5875, 0.0000)  1 Zn 3.11, 4 Tl 3.23
Mg (0.7646, 0.0000, 0.5000)  2 Zn 2.90, 2 Tl 2.95, 2 Mg 3.07
Mg (0.2354, 0.2354, 0.5000)  2 Zn 2.90, 2 Tl 2.95, 2 Mg 3.07
Mg (0.0000, 0.7646, 0.5000)  2 Zn 2.90, 2 Tl 2.95, 2 Mg 3.07
Tl (0.6667, 0.3333, 0.5000)  3 Mg 2.95, 6 Gd 3.23
Tl (0.3333, 0.6667, 0.5000)  3 Mg 2.95, 6 Gd 3.23
Zn (0.0000, 0.0000, 0.0000)  6 Mg 2.90, 3 Gd 3.11


(3)
This record from OQMD describes a geometry-optimized AlAg2Ir structure. The functional is PBE.

Values from the calculation:
* energy: -18.49 eV/f.u.
* space-group type: F-43m (216)

abc: 4.4712 4.4712 4.4712
angles: 60.00 60.00 60.00
Closest atoms and distances in Å follow each position.
Positions (direct):
Ag (0.0000, 0.0000, 0.0000)  4 Ag 2.74, 4 Ir 2.74
Ag (0.7500, 0.7500, 0.7500)  4 Al 2.74, 4 Ag 2.74
Al (0.5000, 0.5000, 0.5000)  4 Ir 2.74, 4 Ag 2.74
Ir (0.2500, 0.2500, 0.2500)  4 Al 2.74, 4 Ag 2.74


(4)
This record from OQMD describes a geometry-optimized Nd2Zr2O7 structure. The functional is PBE.

Values from the calculation:
* energy: -94.65 eV/f.u.
* space-group type: Fd-3m (227)

abc: 7.5020 7.5020 7.5020
angles: 120.00 90.00 120.00
Closest atoms and distances in Å follow each position.
Positions (direct):
Nd (0.0000, 0.5000, 0.0000)  6 O 2.34
Nd (0.0000, 0.0000, 0.5000)  6 O 2.34
Nd (0.5000, 0.0000, 0.5000)  6 O 2.34
Nd (0.0000, 0.5000, 0.5000)  6 O 2.34
O (0.8684, 0.2368, 0.1184)  2 Zr 2.26, 2 Nd 2.34
O (0.3816, 0.7500, 0.1184)  2 Zr 2.26, 2 Nd 2.34
O (0.8684, 0.7500, 0.1184)  2 Zr 2.26, 2 Nd 2.34
O (0.3750, 0.2500, 0.1250)  4 Zr 2.30
O (0.1316, 0.2500, 0.3684)  2 Zr 2.26, 2 Nd 2.34
O (0.6184, 0.2500, 0.3684)  2 Zr 2.26, 2 Nd 2.34
O (0.6184, 0.7368, 0.3684)  2 Zr 2.26, 2 Nd 2.34
O (0.3816, 0.2632, 0.6316)  2 Zr 2.26, 2 Nd 2.34
O (0.3816, 0.7500, 0.6316)  2 Zr 2.26, 2 Nd 2.34
O (0.8684, 0.7500, 0.6316)  2 Zr 2.26, 2 Nd 2.34
O (0.6250, 0.7500, 0.8750)  4 Zr 2.30
O (0.1316, 0.2500, 0.8816)  2 Zr 2.26, 2 Nd 2.34
O (0.6184, 0.2500, 0.8816)  2 Zr 2.26, 2 Nd 2.34
O (0.1316, 0.7632, 0.8816)  2 Zr 2.26, 2 Nd 2.34
Zr (0.0000, 0.0000, 0.0000)  8 O 2.26-2.30
Zr (0.5000, 0.0000, 0.0000)  8 O 2.26-2.30
Zr (0.5000, 0.5000, 0.0000)  8 O 2.26-2.30
Zr (0.5000, 0.5000, 0.5000)  8 O 2.26-2.30


(5)
This record from OQMD describes a geometry-optimized CuTePbF structure. The functional is PBE.

Values from the calculation:
* offset from the most stable computed form: 0.5708 eV per atom
* space-group type: P4/nmm (129)

abc: 4.5664 4.5664 9.6588
angles: 90.00 90.00 90.02
Closest atoms and distances in Å follow each position.
Positions (direct):
Cu (0.2500, 0.7500, 0.0036)  4 F 2.28, 1 Te 2.53
Cu (0.7500, 0.2500, 0.9964)  4 F 2.28, 1 Te 2.53
F (0.2500, 0.2500, 0.0000)  4 Cu 2.28
F (0.7500, 0.7500, 0.0000)  4 Cu 2.28
Pb (0.2500, 0.2500, 0.5000)  4 Te 3.21, 4 Pb 3.23
Pb (0.7500, 0.7500, 0.5000)  4 Te 3.21, 4 Pb 3.23
Te (0.2500, 0.7500, 0.2659)  1 Cu 2.53
Te (0.7500, 0.2500, 0.7341)  1 Cu 2.53


(6)
This record from OQMD describes a geometry-optimized Zr2W structure. The functional is PBE.

Values from the calculation:
* ΔE_f: 0.358 eV/atom
* offset from the most stable computed form: 0.2159 eV per atom
* space-group type: P-62m (189)

abc: 5.2009 5.2009 5.1922
angles: 90.00 90.00 60.00
Closest atoms and distances in Å follow each position.
Positions (direct):
W (0.0000, 0.0000, 0.0000)  3 W 3.00, 9 Zr 3.00-3.09
W (0.3333, 0.3334, 0.0000)  3 W 3.00, 9 Zr 3.00-3.09
Zr (0.6667, 0.6667, 0.0000)  6 W 3.00, 6 Zr 3.19
Zr (0.6667, 0.0238, 0.5000)  8 Zr 2.90-3.22, 4 W 3.09
Zr (0.0239, 0.3094, 0.5000)  8 Zr 2.90-3.22, 4 W 3.09
Zr (0.3095, 0.6666, 0.5000)  8 Zr 2.90-3.22, 4 W 3.09


(7)
This record from OQMD describes a geometry-optimized Al8Ni7 structure. The functional is PBE.

Values from the calculation:
* offset from the most stable computed form: 0.1388 eV per atom
* space-group type: P4_2/mnm (136)

abc: 8.9019 8.9019 4.8563
angles: 90.00 90.00 90.00
Closest atoms and distances in Å follow each position.
Positions (direct):
Al (0.7220, 0.0693, 0.0000)  5 Ni 2.40-2.56, 5 Al 2.63-2.67
Al (0.9307, 0.2780, 0.0000)  5 Ni 2.40-2.56, 5 Al 2.63-2.67
Al (0.0693, 0.7220, 0.0000)  5 Ni 2.40-2.56, 5 Al 2.63-2.67
Al (0.2780, 0.9307, 0.0000)  5 Ni 2.40-2.56, 5 Al 2.63-2.67
Al (0.6678, 0.3322, 0.2462)  6 Al 2.39-2.67, 1 Ni 2.45
Al (0.3322, 0.6678, 0.2462)  6 Al 2.39-2.67, 1 Ni 2.45
Al (0.1678, 0.1678, 0.2538)  6 Al 2.39-2.67, 1 Ni 2.45
Al (0.8322, 0.8322, 0.2538)  6 Al 2.39-2.67, 1 Ni 2.45
Al (0.4307, 0.2220, 0.5000)  5 Ni 2.40-2.56, 5 Al 2.63-2.67
Al (0.2220, 0.4307, 0.5000)  5 Ni 2.40-2.56, 5 Al 2.63-2.67
Al (0.7780, 0.5693, 0.5000)  5 Ni 2.40-2.56, 5 Al 2.63-2.67
Al (0.5693, 0.7780, 0.5000)  5 Ni 2.40-2.56, 5 Al 2.63-2.67
Al (0.1678, 0.1678, 0.7462)  6 Al 2.39-2.67, 1 Ni 2.45
Al (0.8322, 0.8322, 0.7462)  6 Al 2.39-2.67, 1 Ni 2.45
Al (0.6678, 0.3322, 0.7538)  6 Al 2.39-2.67, 1 Ni 2.45
Al (0.3322, 0.6678, 0.7538)  6 Al 2.39-2.67, 1 Ni 2.45
Ni (0.0000, 0.0000, 0.0000)  8 Al 2.45-2.55, 4 Ni 2.73
Ni (0.4553, 0.1339, 0.0000)  4 Al 2.40-2.56, 2 Ni 2.42-2.51
Ni (0.4005, 0.4005, 0.0000)  3 Ni 2.42-2.51
Ni (0.1339, 0.4553, 0.0000)  4 Al 2.40-2.56, 2 Ni 2.42-2.51
Ni (0.8661, 0.5447, 0.0000)  4 Al 2.40-2.56, 2 Ni 2.42-2.51
Ni (0.5995, 0.5995, 0.0000)  3 Ni 2.42-2.51
Ni (0.5447, 0.8661, 0.0000)  4 Al 2.40-2.56, 2 Ni 2.42-2.51
Ni (0.6339, 0.0447, 0.5000)  4 Al 2.40-2.56, 2 Ni 2.42-2.51
Ni (0.9005, 0.0995, 0.5000)  3 Ni 2.42-2.51
Ni (0.9553, 0.3661, 0.5000)  4 Al 2.40-2.56, 2 Ni 2.42-2.51
Ni (0.5000, 0.5000, 0.5000)  8 Al 2.45-2.55, 4 Ni 2.73
Ni (0.0447, 0.6339, 0.5000)  4 Al 2.40-2.56, 2 Ni 2.42-2.51
Ni (0.0995, 0.9005, 0.5000)  3 Ni 2.42-2.51
Ni (0.3661, 0.9553, 0.5000)  4 Al 2.40-2.56, 2 Ni 2.42-2.51


(8)
This record from OQMD describes a geometry-optimized Ta4GeB2As structure. The functional is PBE.

Values from the calculation:
* energy: -74.78 eV/f.u.
* space-group type: P-6m2 (187)

abc: 3.3326 3.3326 12.3861
angles: 90.00 90.00 120.00
Closest atoms and distances in Å follow each position.
Positions (direct):
As (0.0000, 0.0000, 0.0000)  6 Ta 2.65
B (0.3333, 0.6667, 0.2466)  6 Ta 2.27-2.28
B (0.3333, 0.6667, 0.7534)  6 Ta 2.27-2.28
Ge (0.6667, 0.3333, 0.5000)  6 Ta 2.73
Ta (0.6667, 0.3333, 0.1477)  3 B 2.28
Ta (0.0000, 0.0000, 0.3434)  3 B 2.27
Ta (0.0000, 0.0000, 0.6566)  3 B 2.27
Ta (0.6667, 0.3333, 0.8523)  3 B 2.28


(9)
This record from OQMD describes a geometry-optimized HoTmLu2 structure. The functional is PBE.

Values from the calculation:
* ΔE_f: -0.001 eV/atom
* space-group type: Cmcm (63)

abc: 7.0702 7.0702 5.4901
angles: 90.00 90.00 120.01
Closest atoms and distances in Å follow each position.
Positions (direct):
Ho (0.6665, 0.3335, 0.2500)  8 Lu 3.42-3.54, 4 Tm 3.43-3.53
Ho (0.3335, 0.6665, 0.7500)  8 Lu 3.42-3.54, 4 Tm 3.43-3.53
Lu (0.1665, 0.3325, 0.2500)  4 Lu 3.42-3.54, 4 Tm 3.42-3.55, 4 Ho 3.42-3.54
Lu (0.6675, 0.8335, 0.2500)  4 Lu 3.42-3.54, 4 Tm 3.42-3.55, 4 Ho 3.42-3.54
Lu (0.3325, 0.1665, 0.7500)  4 Lu 3.42-3.54, 4 Tm 3.42-3.55, 4 Ho 3.42-3.54
Lu (0.8335, 0.6675, 0.7500)  4 Lu 3.42-3.54, 4 Tm 3.42-3.55, 4 Ho 3.42-3.54
Tm (0.1663, 0.8337, 0.2500)  8 Lu 3.42-3.55, 4 Ho 3.43-3.53
Tm (0.8337, 0.1663, 0.7500)  8 Lu 3.42-3.55, 4 Ho 3.43-3.53


(10)
This record from OQMD describes a geometry-optimized NaAcNb structure. The functional is PBE.

Values from the calculation:
* offset from the most stable computed form: 0.0000 eV per atom
* space-group type: F-43m (216)

abc: 5.2831 5.2831 5.2831
angles: 60.00 60.00 60.00
Closest atoms and distances in Å follow each position.
Positions (direct):
Ac (0.7500, 0.7500, 0.7500)  4 Nb 3.24
Na (0.2500, 0.2500, 0.2500)  4 Nb 3.24
Nb (0.0000, 0.0000, 0.0000)  4 Na 3.24, 4 Ac 3.24


(11)
This record from OQMD describes a geometry-optimized CoTcHgBi structure. The functional is PBE.

Values from the calculation:
* offset from the most stable computed form: 0.0000 eV per atom
* space-group type: F-43m (216)

abc: 4.6395 4.6395 4.6395
angles: 60.00 60.00 60.00
Closest atoms and distances in Å follow each position.
Positions (direct):
Bi (0.0000, 0.0000, 0.0000)  4 Tc 2.84, 4 Co 2.84
Co (0.7500, 0.7500, 0.7500)  4 Hg 2.84, 4 Bi 2.84
Hg (0.5000, 0.5000, 0.5000)  4 Co 2.84, 4 Tc 2.84
Tc (0.2500, 0.2500, 0.2500)  4 Bi 2.84, 4 Hg 2.84


Q: Which formula does entry 4 have?
A: Nd2Zr2O7


Q: What is the formula in the eighth record?
A: Ta4GeB2As